First-principles (PBE) data for crystalline RuBr3 at its relaxed geometry, as listed in the Alexandria database.

Properties
**ΔE_f (raw)**: 0.20 eV per atom
**E_tot**: -3.369 eV per atom

The structure in POSCAR format:
```
RuBr3
1.0
-1.601 2.503 6.799
1.601 -2.503 6.799
1.601 2.503 -6.799
Ru Br
1 3
direct
0.000 0.000 0.000
0.147 0.647 0.500
0.500 0.500 0.000
0.853 0.353 0.500
```

First-principles (PBE) data for crystalline Ru2Br at its relaxed geometry, as listed in the Alexandria database.

Properties
**ΔE_f (raw)**: 0.44 eV per atom
**E_tot**: -6.305 eV per atom

The structure in POSCAR format:
```
Ru2Br
1.0
4.416 -1.469 0.000
4.416 1.469 0.000
-0.810 0.000 9.238
Ru Br
4 2
direct
0.100 0.100 0.169
0.371 0.371 0.056
0.629 0.629 0.944
0.900 0.900 0.831
0.352 0.352 0.331
0.648 0.648 0.669
```

First-principles (PBE) data for crystalline Ru2Br at its relaxed geometry, as listed in the Alexandria database.

Properties
**ΔE_f (raw)**: 1.26 eV per atom
**E_tot**: -5.481 eV per atom

The structure in POSCAR format:
```
Ru2Br
1.0
6.462 0.000 0.000
-3.231 5.596 0.000
0.000 0.000 4.015
Ru Br
6 3
direct
0.000 0.252 0.000
0.000 0.627 0.500
0.252 0.000 0.000
0.373 0.373 0.500
0.627 0.000 0.500
0.748 0.748 0.000
0.000 0.000 0.500
0.333 0.667 0.000
0.667 0.333 0.000
```

First-principles (PBE) data for crystalline RuBr3 at its relaxed geometry, as listed in the Alexandria database.

Properties
**ΔE_f (raw)**: 0.92 eV per atom
**E_tot**: -2.655 eV per atom

The structure in POSCAR format:
```
RuBr3
1.0
-2.983 2.983 2.983
2.983 -2.983 2.983
2.983 2.983 -2.983
Ru Br
1 3
direct
0.000 0.000 0.000
0.000 0.500 0.500
0.500 0.000 0.500
0.500 0.500 0.000
```